Record 1
Tm3Hf2Pb3 after structural relaxation, computed with GGA-PBE.

Computed properties:
- M_tot (μB per cell) = 0.0
- theoretical density (g/cm³) = 11.983
- energy of formation from the pure elements (eV/atom) = -0.326
- volume (Å³ per cell) = 412

Cell and atoms, written as CIF:
```
data_Tm3Hf2Pb3
_chemical_formula_sum 'Tm6 Hf4 Pb6'
_space_group_name_H-M_alt 'P 63/m c m'
_space_group_IT_number 193
_space_group_name_Hall '-P 6c 2'
_cell_length_a 8.8407
_cell_length_b 8.8407
_cell_length_c 6.0818
_cell_angle_alpha 90.00
_cell_angle_beta 90.00
_cell_angle_gamma 120.00
loop_
_atom_site_label
_atom_site_type_symbol
_atom_site_fract_x
_atom_site_fract_y
_atom_site_fract_z
Tm1 Tm 0.0000 0.2386 0.2500
Hf1 Hf 0.3333 0.6667 0.0000
Pb1 Pb 0.0000 0.3969 0.7500
```



Record 2
KZrPt2I after structural relaxation, computed with GGA-PBE.

Computed properties:
- M_tot (μB per cell) = 0.0
- theoretical density (g/cm³) = 7.720
- raw formation energy (eV/atom) = 1.5174
- volume (Å³ per cell) = 139

Cell and atoms, written as CIF:
```
data_KZrPt2I
_chemical_formula_sum 'K1 Zr1 Pt2 I1'
_space_group_name_H-M_alt 'P 4/m m m'
_space_group_IT_number 123
_space_group_name_Hall '-P 4 2'
_cell_length_a 5.009
_cell_length_b 5.009
_cell_length_c 5.549
_cell_angle_alpha 90.00
_cell_angle_beta 90.00
_cell_angle_gamma 90.00
loop_
_atom_site_label
_atom_site_type_symbol
_atom_site_fract_x
_atom_site_fract_y
_atom_site_fract_z
K1 K 0.000 0.000 0.000
Zr1 Zr 0.500 0.500 0.500
Pt1 Pt 0.000 0.500 0.000
I1 I 0.000 0.000 0.500
```